[1]
The following is a DFT calculation (PBE) of a relaxed CuN2F2 crystal.

- ΔE to the lowest computed polymorph (meV per atom) = 1862.2

a b c (Å): 3.8064 3.8064 4.0360
angles (deg): 90.00 90.00 90.00
Site moments in Bohr magnetons follow the coordinates.
Atoms (fractional coordinates):
Cu  0.0000  0.0000  0.0000  -0.06
F  0.0000  0.5000  0.0000  0.03
F  0.5000  0.0000  0.0000  0.03
N  0.0000  0.0000  0.5000  -1.23
N  0.5000  0.5000  0.5000  1.77

***

[2]
The following is a DFT calculation (PBE) of a relaxed CuNF2 crystal.

- ΔE to the lowest computed polymorph (meV per atom) = 275.3

a b c (Å): 6.5765 6.5765 6.5765
angles (deg): 24.93 24.93 24.93
Atoms (fractional coordinates):
N  0.0000  0.0000  0.0000
Cu  0.5000  0.5000  0.5000
F  0.0953  0.0953  0.0953
F  0.9047  0.9047  0.9047

***

[3]
The following is a DFT calculation (PBE) of a relaxed CuN2F2 crystal.

- ΔE to the lowest computed polymorph (meV per atom) = 2677.2

a b c (Å): 3.5435 3.5435 4.7476
angles (deg): 90.00 90.00 90.00
Site moments in Bohr magnetons follow the coordinates.
Atoms (fractional coordinates):
F  0.0000  0.0000  0.5000  0.12
F  0.0000  0.0000  0.0000  -0.01
N  0.0000  0.5000  0.0000  1.01
N  0.5000  0.0000  0.0000  1.01
Cu  0.5000  0.5000  0.5000  0.32

***

[4]
The following is a DFT calculation (PBE) of a relaxed Cu3NF3 crystal.

a b c (Å): 4.2114 4.2114 4.2114
angles (deg): 90.00 90.00 90.00
Site moments in Bohr magnetons follow the coordinates.
Atoms (fractional coordinates):
Cu  0.5000  0.0000  0.5000  0.15
Cu  0.5000  0.5000  0.0000  0.15
Cu  0.0000  0.5000  0.5000  0.15
N  0.5000  0.5000  0.5000  0.08
F  0.0000  0.0000  0.5000  0.04
F  0.0000  0.5000  0.0000  0.04
F  0.5000  0.0000  0.0000  0.04

***

[5]
The following is a DFT calculation (PBE) of a relaxed CuN2F crystal.

- ΔE to the lowest computed polymorph (meV per atom) = 0.0

a b c (Å): 5.4775 5.4775 5.4775
angles (deg): 32.87 32.87 32.87
Atoms (fractional coordinates):
F  0.0000  0.0000  0.0000
N  0.1134  0.1134  0.1134
N  0.8866  0.8866  0.8866
Cu  0.5000  0.5000  0.5000

***

[6]
The following is a DFT calculation (PBE) of a relaxed Cu3NF crystal.

- ΔE to the lowest computed polymorph (meV per atom) = 0.0

a b c (Å): 3.8483 3.8483 3.8483
angles (deg): 90.00 90.00 90.00
Atoms (fractional coordinates):
F  0.5000  0.5000  0.5000
N  0.0000  0.0000  0.0000
Cu  0.0000  0.0000  0.5000
Cu  0.5000  0.0000  0.0000
Cu  0.0000  0.5000  0.0000

***

[7]
The following is a DFT calculation (PBE) of a relaxed NaCuN2F crystal.

- ΔE to the lowest computed polymorph (meV per atom) = 1097.9

a b c (Å): 4.5031 4.5031 3.9636
angles (deg): 90.00 90.00 90.00
Site moments in Bohr magnetons follow the coordinates.
Atoms (fractional coordinates):
Cu  0.5000  0.5000  0.5000  -0.20
Na  0.0000  0.0000  0.0000  -0.04
N  0.5000  0.0000  0.0000  -1.60
N  0.0000  0.5000  0.0000  -1.60
F  0.0000  0.0000  0.5000  -0.17

***

[8]
The following is a DFT calculation (PBE) of a relaxed NaCuN2F crystal.

- ΔE to the lowest computed polymorph (meV per atom) = 0.0

a b c (Å): 3.6196 3.6196 4.9949
angles (deg): 90.00 90.00 90.00
Site moments in Bohr magnetons follow the coordinates.
Atoms (fractional coordinates):
N  0.5000  0.0000  0.0000  0.60
N  0.0000  0.5000  0.0000  0.60
Na  0.5000  0.5000  0.5000  0.00
Cu  0.0000  0.0000  0.0000  0.22
F  0.0000  0.0000  0.5000  0.07

***

[9]
The following is a DFT calculation (PBE) of a relaxed NbCuNF2 crystal.

- ΔE to the lowest computed polymorph (meV per atom) = 680.2

a b c (Å): 3.4628 3.4628 6.1792
angles (deg): 90.00 90.00 90.00
Site moments in Bohr magnetons follow the coordinates.
Atoms (fractional coordinates):
N  0.0000  0.0000  0.5000  -0.16
F  0.0000  0.5000  0.0000  0.02
F  0.5000  0.0000  0.0000  0.02
Nb  0.5000  0.5000  0.5000  1.54
Cu  0.0000  0.0000  0.0000  0.01

***

[10]
The following is a DFT calculation (PBE) of a relaxed NbCuNF2 crystal.

- ΔE to the lowest computed polymorph (meV per atom) = 0.0

a b c (Å): 4.1370 4.1370 4.0523
angles (deg): 90.00 90.00 90.00
Atoms (fractional coordinates):
Cu  0.5000  0.5000  0.5000
Nb  0.0000  0.0000  0.0000
F  0.0000  0.5000  0.0000
F  0.5000  0.0000  0.0000
N  0.0000  0.0000  0.5000

***

[11]
The following is a DFT calculation (PBE) of a relaxed CuNO2F crystal.

a b c (Å): 3.7906 3.7906 3.8940
angles (deg): 90.00 90.00 90.00
Site moments in Bohr magnetons follow the coordinates.
Atoms (fractional coordinates):
O  0.0000  0.5000  0.0000  -0.67
O  0.5000  0.0000  0.0000  -0.67
N  0.5000  0.5000  0.5000  1.66
F  0.0000  0.0000  0.5000  0.04
Cu  0.0000  0.0000  0.0000  -0.27

***

[12]
The following is a DFT calculation (PBE) of a relaxed CuNO2F crystal.

a b c (Å): 3.7710 3.7710 3.5984
angles (deg): 90.00 90.00 90.00
Site moments in Bohr magnetons follow the coordinates.
Atoms (fractional coordinates):
N  0.0000  0.0000  0.5000  0.21
O  0.5000  0.0000  0.0000  -0.39
O  0.0000  0.5000  0.0000  -0.39
F  0.0000  0.0000  0.0000  -0.05
Cu  0.5000  0.5000  0.5000  -0.12

***

[13]
The following is a DFT calculation (PBE) of a relaxed CuNO2F crystal.

a b c (Å): 3.6248 3.6248 4.1067
angles (deg): 90.00 90.00 90.00
Site moments in Bohr magnetons follow the coordinates.
Atoms (fractional coordinates):
N  0.0000  0.0000  0.5000  -0.04
O  0.0000  0.5000  0.0000  -0.11
O  0.5000  0.0000  0.0000  -0.11
F  0.5000  0.5000  0.5000  -0.10
Cu  0.0000  0.0000  0.0000  -0.09

***

[14]
The following is a DFT calculation (PBE) of a relaxed TiCuNO4F7 crystal.

a b c (Å): 6.5903 6.5903 10.0193
angles (deg): 90.00 90.00 90.00
Site moments in Bohr magnetons follow the coordinates.
Atoms (fractional coordinates):
O  0.3189  0.7594  0.5435  0.22
O  0.2594  0.1811  0.5435  0.22
O  0.7594  0.6811  0.4565  0.22
O  0.2406  0.3189  0.4565  0.22
O  0.6811  0.2406  0.5435  0.22
O  0.7406  0.8189  0.5435  0.22
O  0.8189  0.2594  0.4565  0.22
O  0.1811  0.7406  0.4565  0.22
F  0.2078  0.0037  0.1405  0.03
F  0.7922  0.9963  0.1405  0.03
F  0.2922  0.4963  0.8595  0.03
F  0.7078  0.5037  0.8595  0.03
F  0.0000  0.0000  0.5000  -0.02
F  0.5000  0.5000  0.5000  -0.02
F  0.0037  0.7922  0.8595  0.03
F  0.9963  0.2078  0.8595  0.03
F  0.0000  0.5000  0.6825  0.01
F  0.5000  0.0000  0.9464  0.00
F  0.5037  0.2922  0.1405  0.03
F  0.5000  0.0000  0.3175  0.01
F  0.0000  0.5000  0.0536  0.00
F  0.4963  0.7078  0.1405  0.03
N  0.0000  0.0000  0.0000  1.06
N  0.5000  0.5000  0.0000  1.06
Cu  0.5000  0.0000  0.5187  0.10
Cu  0.0000  0.5000  0.4813  0.10
Ti  0.0000  0.5000  0.8748  0.04
Ti  0.5000  0.0000  0.1252  0.04

***

[15]
The following is a DFT calculation (PBE) of a relaxed Cu2OsNF crystal.

- ΔE to the lowest computed polymorph (meV per atom) = 0.0

a b c (Å): 4.5378 2.7229 10.0327
angles (deg): 90.00 94.25 90.00
Atoms (fractional coordinates):
Cu  0.6340  0.0000  0.3903
Cu  0.3650  0.0000  0.1365
Cu  0.6340  0.5000  0.8903
Cu  0.3650  0.5000  0.6365
F  0.7668  0.0000  0.6204
F  0.7668  0.5000  0.1204
Os  0.0700  0.5000  0.2998
Os  0.0700  0.0000  0.7998
N  0.3170  0.5000  0.4429
N  0.3170  0.0000  0.9429

***

[16]
The following is a DFT calculation (PBE) of a relaxed Cu2OsNF crystal.

- ΔE to the lowest computed polymorph (meV per atom) = 15.3

a b c (Å): 4.7181 2.6925 9.6410
angles (deg): 90.00 101.65 90.00
Atoms (fractional coordinates):
Os  0.5292  0.0000  0.0331
Os  0.5292  0.5000  0.5331
Cu  0.6756  0.5000  0.8228
Cu  0.1970  0.5000  0.1779
Cu  0.1970  0.0000  0.6779
Cu  0.6756  0.0000  0.3228
N  0.8699  0.5000  0.6470
N  0.8699  0.0000  0.1470
F  0.1159  0.0000  0.8956
F  0.1159  0.5000  0.3956

***

[17]
The following is a DFT calculation (PBE) of a relaxed Cu2OsNF crystal.

- ΔE to the lowest computed polymorph (meV per atom) = 1682.2

a b c (Å): 3.5989 5.5891 3.5989
angles (deg): 90.00 90.00 90.00
Site moments in Bohr magnetons follow the coordinates.
Atoms (fractional coordinates):
Os  0.0000  0.5000  0.0000  2.31
N  0.5000  0.5000  0.5000  0.27
F  0.0000  0.0000  0.0000  -0.01
Cu  0.5000  0.0000  0.0000  -0.01
Cu  0.0000  0.0000  0.5000  -0.01

***

[18]
The following is a DFT calculation (PBE) of a relaxed Cu2OsNF crystal.

- ΔE to the lowest computed polymorph (meV per atom) = 91.7

a b c (Å): 2.7475 4.4915 5.2217
angles (deg): 111.13 90.27 90.02
Atoms (fractional coordinates):
Cu  0.2310  0.8421  0.1247
Cu  0.2227  0.2350  0.8073
Os  0.7208  0.6667  0.6715
F  0.7169  0.2716  0.2900
N  0.2193  0.8318  0.4941

***

[19]
The following is a DFT calculation (PBE) of a relaxed Cu2OsNF crystal.

- ΔE to the lowest computed polymorph (meV per atom) = 18.9

a b c (Å): 2.6575 3.7223 7.6769
angles (deg): 87.17 80.36 69.88
Atoms (fractional coordinates):
F  0.9163  0.1364  0.3983
Cu  0.4444  0.2923  0.1987
Cu  0.7137  0.2853  0.6447
N  0.3118  0.8772  0.9225
Os  0.9969  0.4675  0.9222

***

[20]
The following is a DFT calculation (PBE) of a relaxed Cu2OsNF crystal.

- ΔE to the lowest computed polymorph (meV per atom) = 31.8

a b c (Å): 2.7218 4.8958 5.0127
angles (deg): 112.21 89.98 106.24
Site moments in Bohr magnetons follow the coordinates.
Atoms (fractional coordinates):
Os  0.0892  0.5523  0.3312  0.05
Cu  0.7829  0.9389  0.1608  0.01
Cu  0.4415  0.2586  0.6100  0.00
F  0.2368  0.8460  0.7796  0.00
N  0.5446  0.4629  0.0321  0.00

***

[21]
The following is a DFT calculation (PBE) of a relaxed CuOsN2F crystal.

- ΔE to the lowest computed polymorph (meV per atom) = 0.0

a b c (Å): 3.7999 3.7999 4.3330
angles (deg): 90.00 90.00 90.00
Site moments in Bohr magnetons follow the coordinates.
Atoms (fractional coordinates):
F  0.0000  0.0000  0.5000  0.00
Cu  0.5000  0.5000  0.5000  0.02
N  0.0000  0.5000  0.0000  0.11
N  0.5000  0.0000  0.0000  0.11
Os  0.0000  0.0000  0.0000  -0.02

***

[22]
The following is a DFT calculation (PBE) of a relaxed Cu2OsNF crystal.

- ΔE to the lowest computed polymorph (meV per atom) = 40.7

a b c (Å): 4.6647 2.6827 10.0555
angles (deg): 90.00 106.17 90.00
Atoms (fractional coordinates):
Cu  0.7019  0.5000  0.1084
Cu  0.5003  0.5000  0.3888
Cu  0.5003  0.0000  0.8888
Cu  0.7019  0.0000  0.6084
F  0.9180  0.5000  0.3382
F  0.9180  0.0000  0.8382
Os  0.1588  0.0000  0.0516
Os  0.1588  0.5000  0.5516
N  0.3333  0.5000  0.1893
N  0.3333  0.0000  0.6893

***

[23]
The following is a DFT calculation (PBE) of a relaxed CuOsN2F crystal.

- ΔE to the lowest computed polymorph (meV per atom) = 1079.3

a b c (Å): 3.8417 3.8417 3.6521
angles (deg): 90.00 90.00 90.00
Site moments in Bohr magnetons follow the coordinates.
Atoms (fractional coordinates):
Os  0.5000  0.5000  0.5000  2.50
N  0.5000  0.0000  0.0000  -0.01
N  0.0000  0.5000  0.0000  -0.01
Cu  0.0000  0.0000  0.0000  0.04
F  0.0000  0.0000  0.5000  0.09

***

[24]
The following is a DFT calculation (PBE) of a relaxed Cu2OsNF crystal.

- ΔE to the lowest computed polymorph (meV per atom) = 58.9

a b c (Å): 4.1205 2.8634 11.3318
angles (deg): 90.00 90.00 90.00
Atoms (fractional coordinates):
N  0.0000  0.0000  0.4708
N  0.5000  0.5000  0.9708
Cu  0.5000  0.0000  0.4571
Cu  0.5000  0.5000  0.6571
Cu  0.0000  0.0000  0.1571
Cu  0.0000  0.5000  0.9571
F  0.0000  0.0000  0.8184
F  0.5000  0.5000  0.3184
Os  0.5000  0.5000  0.1231
Os  0.0000  0.0000  0.6231

***

[25]
The following is a DFT calculation (PBE) of a relaxed Cu2OsNF crystal.

- ΔE to the lowest computed polymorph (meV per atom) = 12.8

a b c (Å): 4.5556 2.6708 4.9823
angles (deg): 90.00 99.60 90.00
Atoms (fractional coordinates):
Cu  0.6394  0.5000  0.1577
Cu  0.3532  0.5000  0.6723
N  0.7382  0.5000  0.5467
Os  0.9073  0.0000  0.8173
F  0.2092  0.0000  0.1936

***

[26]
The following is a DFT calculation (PBE) of a relaxed CuPN2F crystal.

- ΔE to the lowest computed polymorph (meV per atom) = 852.6

a b c (Å): 3.8224 3.8224 3.7157
angles (deg): 90.00 90.00 90.00
Site moments in Bohr magnetons follow the coordinates.
Atoms (fractional coordinates):
Cu  0.0000  0.0000  0.0000  0.03
N  0.5000  0.0000  0.0000  0.12
N  0.0000  0.5000  0.0000  0.12
P  0.5000  0.5000  0.5000  -0.06
F  0.0000  0.0000  0.5000  0.00

***

| no. | D(E_F) (states/eV per cell) | magnetization (μB per cell) | formation energy from raw total energies (kJ/mol of formula units) |
| --- | --- | --- | --- |
| 1 | 0.80 | 0.82 | 488 |
| 2 | 1.93 | 0.00 | 193 |
| 3 | 1.58 | 3.18 | 881 |
| 4 | 5.93 | 0.67 | -436 |
| 5 | 1.85 | 0.00 | 438 |
| 6 | 4.70 | 0.00 | -63 |
| 7 | 1.03 | 5.00 | 717 |
| 8 | 2.47 | 1.96 | 187 |
| 9 | 2.48 | 1.73 | -123 |
| 10 | 1.90 | 0.00 | -451 |
| 11 | 3.98 | 0.55 | 490 |
| 12 | 7.61 | 0.77 | 957 |
| 13 | 7.76 | 0.51 | 652 |
| 14 | 17.01 | 5.42 | -1281 |
| 15 | 1.87 | 0.00 | -19 |
| 16 | 1.89 | 0.00 | -12 |
| 17 | 3.43 | 2.78 | 792 |
| 18 | 2.73 | 0.00 | 25 |
| 19 | 2.12 | 0.00 | -10 |
| 20 | 1.96 | 0.06 | -4 |
| 21 | 1.92 | 0.29 | 242 |
| 22 | 3.83 | 0.00 | 0 |
| 23 | 4.07 | 2.81 | 763 |
| 24 | 4.79 | 0.00 | 9 |
| 25 | 1.30 | 0.00 | -13 |
| 26 | 2.83 | 0.25 | 599 |